VASP calculation (PBE) on crystalline Al3FeH at its relaxed geometry.

Polymorph energy (0 for the lowest one): 0.0 meV/atom

CIF file:
```
data_Al3FeH
_cell_length_a 3.847
_cell_length_b 3.847
_cell_length_c 3.847
_cell_angle_alpha 90.00
_cell_angle_beta 90.00
_cell_angle_gamma 90.00
_space_group_name_H-M_alt 'P m -3 m'
_space_group_IT_number 221
_space_group_name_Hall '-P 4 2 3'
loop_
_atom_site_label
_atom_site_type_symbol
_atom_site_fract_x
_atom_site_fract_y
_atom_site_fract_z
Al1 Al 0.000 0.000 0.500
Fe1 Fe 0.500 0.500 0.500
H1 H 0.000 0.000 0.000
```



VASP calculation (PBE) on crystalline Al2OsC2 at its relaxed geometry.

Formation energy: 0.553 eV/atom
Polymorph energy (0 for the lowest one): 0.0 meV/atom

CIF file:
```
data_Al2OsC2
_cell_length_a 5.730
_cell_length_b 5.730
_cell_length_c 3.068
_cell_angle_alpha 90.00
_cell_angle_beta 90.00
_cell_angle_gamma 90.00
_space_group_name_H-M_alt 'P 4/m b m'
_space_group_IT_number 127
_space_group_name_Hall '-P 4 2ab'
loop_
_atom_site_label
_atom_site_type_symbol
_atom_site_fract_x
_atom_site_fract_y
_atom_site_fract_z
Al1 Al 0.156 0.344 0.000
Os1 Os 0.000 0.000 0.500
C1 C 0.146 0.646 0.500
```



VASP calculation (PBE) on crystalline Sr3LiRu2O9 at its relaxed geometry.

Raw formation energy: -1.880 eV/atom

CIF file:
```
data_Sr3LiRu2O9
_cell_length_a 5.5928
_cell_length_b 5.5928
_cell_length_c 6.8692
_cell_angle_alpha 90.00
_cell_angle_beta 90.00
_cell_angle_gamma 120.00
_space_group_name_H-M_alt 'P -3 m 1'
_space_group_IT_number 164
_space_group_name_Hall '-P 3 2"'
loop_
_atom_site_label
_atom_site_type_symbol
_atom_site_fract_x
_atom_site_fract_y
_atom_site_fract_z
Sr1 Sr 0.0000 0.0000 0.0000
Sr2 Sr 0.3333 0.6667 0.6528
Li1 Li 0.0000 0.0000 0.5000
Ru1 Ru 0.3333 0.6667 0.1697
O1 O 0.0000 0.5000 0.0000
O2 O 0.1721 0.3442 0.3252
```



VASP calculation (PBE) on crystalline PmPrLuHg at its relaxed geometry.

Formation energy: -0.013 eV/atom
Polymorph energy (0 for the lowest one): 77.6 meV/atom

CIF file:
```
data_PmPrLuHg
_cell_length_a 7.757
_cell_length_b 7.757
_cell_length_c 7.757
_cell_angle_alpha 90.00
_cell_angle_beta 90.00
_cell_angle_gamma 90.00
_space_group_name_H-M_alt 'F -4 3 m'
_space_group_IT_number 216
_space_group_name_Hall 'F -4 2 3'
loop_
_atom_site_label
_atom_site_type_symbol
_atom_site_fract_x
_atom_site_fract_y
_atom_site_fract_z
Pm1 Pm 0.000 0.000 0.000
Pr1 Pr 0.250 0.250 0.250
Lu1 Lu 0.250 0.250 0.750
Hg1 Hg 0.000 0.000 0.500
```



VASP calculation (PBE) on crystalline ZnCo2Mo at its relaxed geometry.

Formation energy: 0.141 eV/atom

CIF file:
```
data_ZnCo2Mo
_cell_length_a 2.6778
_cell_length_b 2.6778
_cell_length_c 24.9231
_cell_angle_alpha 90.00
_cell_angle_beta 90.00
_cell_angle_gamma 120.00
_space_group_name_H-M_alt 'R 3 m'
_space_group_IT_number 160
_space_group_name_Hall 'R 3 -2"'
loop_
_atom_site_label
_atom_site_type_symbol
_atom_site_fract_x
_atom_site_fract_y
_atom_site_fract_z
Zn1 Zn 0.0000 0.0000 0.0000
Co1 Co 0.0000 0.0000 0.5840
Co2 Co 0.0000 0.0000 0.7493
Mo1 Mo 0.0000 0.0000 0.1664
```



VASP calculation (PBE) on crystalline ThPH at its relaxed geometry.

Polymorph energy (0 for the lowest one): 557.7 meV/atom

CIF file:
```
data_ThPH
_cell_length_a 3.9710
_cell_length_b 3.9710
_cell_length_c 3.9970
_cell_angle_alpha 90.00
_cell_angle_beta 90.00
_cell_angle_gamma 120.00
_space_group_name_H-M_alt 'P -6 m 2'
_space_group_IT_number 187
_space_group_name_Hall 'P -6 2'
loop_
_atom_site_label
_atom_site_type_symbol
_atom_site_fract_x
_atom_site_fract_y
_atom_site_fract_z
Th1 Th 0.0000 0.0000 0.0000
P1 P 0.3333 0.6667 0.5000
H1 H 0.0000 0.0000 0.5000
```



VASP calculation (PBE) on crystalline Hg2AuN2 at its relaxed geometry.

Raw formation energy: 1.605 eV/atom
Polymorph energy (0 for the lowest one): 1450.9 meV/atom

CIF file:
```
data_Hg2AuN2
_cell_length_a 3.601
_cell_length_b 3.601
_cell_length_c 12.379
_cell_angle_alpha 90.00
_cell_angle_beta 90.00
_cell_angle_gamma 90.00
_space_group_name_H-M_alt 'I 4/m m m'
_space_group_IT_number 139
_space_group_name_Hall '-I 4 2'
loop_
_atom_site_label
_atom_site_type_symbol
_atom_site_fract_x
_atom_site_fract_y
_atom_site_fract_z
Hg1 Hg 0.000 0.000 0.126
Au1 Au 0.000 0.000 0.500
N1 N 0.000 0.500 0.250
```



VASP calculation (PBE) on crystalline Sb3Pb5 at its relaxed geometry.

Raw formation energy: 0.027 eV/atom
Polymorph energy (0 for the lowest one): 0.0 meV/atom

CIF file:
```
data_Sb3Pb5
_cell_length_a 9.5951
_cell_length_b 9.5951
_cell_length_c 6.7615
_cell_angle_alpha 90.00
_cell_angle_beta 90.00
_cell_angle_gamma 120.00
_space_group_name_H-M_alt 'P 63/m c m'
_space_group_IT_number 193
_space_group_name_Hall '-P 6c 2'
loop_
_atom_site_label
_atom_site_type_symbol
_atom_site_fract_x
_atom_site_fract_y
_atom_site_fract_z
Sb1 Sb 0.0000 0.3620 0.2500
Pb1 Pb 0.0000 0.3078 0.7500
Pb2 Pb 0.3333 0.6667 0.0000
```



VASP calculation (PBE) on crystalline Li2Pa2Cl2O5 at its relaxed geometry.

Raw formation energy: -2.810 eV/atom

CIF file:
```
data_Li2Pa2Cl2O5
_cell_length_a 4.259
_cell_length_b 4.259
_cell_length_c 22.799
_cell_angle_alpha 90.00
_cell_angle_beta 90.00
_cell_angle_gamma 90.00
_space_group_name_H-M_alt 'I 4/m m m'
_space_group_IT_number 139
_space_group_name_Hall '-I 4 2'
loop_
_atom_site_label
_atom_site_type_symbol
_atom_site_fract_x
_atom_site_fract_y
_atom_site_fract_z
Li1 Li 0.000 0.000 0.175
Pa1 Pa 0.000 0.000 0.407
Cl1 Cl 0.000 0.000 0.286
O1 O 0.000 0.000 0.500
O2 O 0.000 0.500 0.108
```



VASP calculation (PBE) on crystalline CdCu at its relaxed geometry.

Formation energy: 0.148 eV/atom

CIF file:
```
data_CdCu
_cell_length_a 3.396
_cell_length_b 3.396
_cell_length_c 6.466
_cell_angle_alpha 90.00
_cell_angle_beta 90.00
_cell_angle_gamma 90.00
_space_group_name_H-M_alt 'P 4/n m m'
_space_group_IT_number 129
loop_
_space_group_symop_operation_xyz
'x,y,z'
'-x,-y,-z'
'-y+1/2,x,z'
'y+1/2,-x,-z'
'-x+1/2,-y+1/2,z'
'x+1/2,y+1/2,-z'
'y,-x+1/2,z'
'-y,x+1/2,-z'
'x+1/2,-y,-z'
'-x+1/2,y,z'
'-y,-x,-z'
'y,x,z'
'-x,y+1/2,-z'
'x,-y+1/2,z'
'y+1/2,x+1/2,-z'
'-y+1/2,-x+1/2,z'
loop_
_atom_site_label
_atom_site_type_symbol
_atom_site_fract_x
_atom_site_fract_y
_atom_site_fract_z
Cd1 Cd 0.250 0.250 0.156
Cu1 Cu 0.250 0.750 0.500
```



VASP calculation (PBE) on crystalline CeSm2Er8 at its relaxed geometry.

Formation energy: 0.179 eV/atom
Polymorph energy (0 for the lowest one): 138.4 meV/atom

CIF file:
```
data_CeSm2Er8
_cell_length_a 18.951
_cell_length_b 6.887
_cell_length_c 5.535
_cell_angle_alpha 90.00
_cell_angle_beta 92.86
_cell_angle_gamma 90.00
_space_group_name_H-M_alt 'C 1 2/m 1'
_space_group_IT_number 12
_space_group_name_Hall '-C 2y'
loop_
_atom_site_label
_atom_site_type_symbol
_atom_site_fract_x
_atom_site_fract_y
_atom_site_fract_z
Ce1 Ce 0.000 0.000 0.000
Sm1 Sm 0.217 0.500 0.249
Er1 Er 0.047 0.500 0.237
Er2 Er 0.131 0.265 0.733
Er3 Er 0.185 0.000 0.233
```



VASP calculation (PBE) on crystalline SrZn2Ir at its relaxed geometry.

Formation energy: -0.288 eV/atom

CIF file:
```
data_SrZn2Ir
_cell_length_a 7.547
_cell_length_b 4.350
_cell_length_c 5.939
_cell_angle_alpha 90.00
_cell_angle_beta 114.93
_cell_angle_gamma 90.00
_space_group_name_H-M_alt 'C 1 2/m 1'
_space_group_IT_number 12
_space_group_name_Hall '-C 2y'
loop_
_atom_site_label
_atom_site_type_symbol
_atom_site_fract_x
_atom_site_fract_y
_atom_site_fract_z
Sr1 Sr 0.000 0.000 0.000
Zn1 Zn 0.199 0.000 0.597
Ir1 Ir 0.000 0.500 0.500
```